No. 1
VASP calculation (PBE-GGA) on a relaxed structure of TlHg2Br6.

Unit cell a=7.6287 b=9.5208 c=9.5208 alpha=86.22 beta=82.77 gamma=82.77
Fractional coordinates of all 18 atoms:
Br1 0.6282 0.2854 0.4657
Br2 0.3839 0.0449 0.1806
Br3 0.8876 0.8760 0.3932
Br4 0.1282 0.4657 0.2854
Br5 0.8839 0.1806 0.0449
Br6 0.8718 0.5343 0.7146
Br7 0.3718 0.7146 0.5343
Br8 0.6161 0.9551 0.8194
Br9 0.6124 0.6068 0.1240
Br10 0.1124 0.1240 0.6068
Br11 0.1161 0.8194 0.9551
Br12 0.3876 0.3932 0.8760
Tl1 0.2500 0.1201 0.8799
Tl2 0.7500 0.8799 0.1201
Hg1 0.6814 0.7680 0.6091
Hg2 0.1814 0.6091 0.7680
Hg3 0.3186 0.2320 0.3909
Hg4 0.8186 0.3909 0.2320

Calculated values
spin magnetization	0.000	μB per formula unit
ΔE_f (raw)	-42.7	kJ per mole of atoms
ρ	5.3	g/cm³


No. 2
VASP calculation (PBE-GGA) on a relaxed structure of TlHgBr.

Unit cell a=4.7109 b=4.7109 c=10.1800 alpha=90.00 beta=90.00 gamma=90.00
Fractional coordinates of all 6 atoms:
Tl1 0.4943 0.0057 0.6597
Tl2 0.9943 0.5057 0.3403
Hg1 0.5023 0.9977 0.9888
Hg2 0.0023 0.4977 0.0112
Br1 0.4944 0.0056 0.3360
Br2 0.9944 0.5056 0.6640

Calculated values
spin magnetization	0.000	μB per formula unit
ΔE_f (raw)	-52.3	kJ per mole of atoms
ρ	7.1	g/cm³


No. 3
VASP calculation (PBE-GGA) on a relaxed structure of TlHg2Br.

Unit cell a=9.1929 b=9.1929 c=7.2440 alpha=50.62 beta=50.62 gamma=90.00
Fractional coordinates of all 8 atoms:
Br1 0.5000 0.5000 0.0000
Br2 0.2500 0.7500 0.5000
Tl1 0.0000 0.0000 0.0000
Tl2 0.7500 0.2500 0.5000
Hg1 0.8750 0.8822 0.7500
Hg2 0.1178 0.6250 0.2500
Hg3 0.6322 0.1250 0.2500
Hg4 0.3750 0.3678 0.7500

Calculated values
spin magnetization	0.000	μB per formula unit
ΔE_f (raw)	-30.6	kJ per mole of atoms
ρ	8.4	g/cm³


No. 4
VASP calculation (PBE-GGA) on a relaxed structure of TlHg2Br.

Unit cell a=5.6652 b=5.6652 c=5.6652 alpha=60.00 beta=60.00 gamma=60.00
Fractional coordinates of all 4 atoms:
Tl1 0.5000 0.5000 0.5000
Hg1 0.2500 0.2500 0.2500
Hg2 0.7500 0.7500 0.7500
Br1 0.0000 0.0000 0.0000

Calculated values
spin magnetization	0.000	μB per formula unit
ΔE_f (raw)	-24.5	kJ per mole of atoms
ρ	8.9	g/cm³


No. 5
VASP calculation (PBE-GGA) on a relaxed structure of Tl5Hg2Br12.

Unit cell a=8.5239 b=9.6343 c=9.7111 alpha=106.95 beta=90.00 gamma=116.26
Fractional coordinates of all 19 atoms:
Br1 0.1042 0.7473 0.4219
Br2 0.5072 0.0144 0.2175
Br3 0.9102 0.3264 0.0767
Br4 0.8958 0.2527 0.5781
Br5 0.4928 0.9856 0.7825
Br6 0.0898 0.6736 0.9233
Br7 0.3569 0.2527 0.5781
Br8 0.9850 0.9701 0.7797
Br9 0.0150 0.0299 0.2203
Br10 0.5838 0.6736 0.9233
Br11 0.6431 0.7473 0.4219
Br12 0.4162 0.3264 0.0767
Tl1 0.3224 0.6448 0.1735
Tl2 0.2926 0.5851 0.6355
Tl3 0.7074 0.4149 0.3645
Tl4 0.0000 0.0000 0.5000
Tl5 0.6776 0.3552 0.8265
Hg1 0.2585 0.0000 0.0000
Hg2 0.7415 0.0000 0.0000

Calculated values
spin magnetization	0.000	μB per formula unit
ΔE_f (raw)	-53.8	kJ per mole of atoms
ρ	5.8	g/cm³


No. 6
VASP calculation (PBE-GGA) on a relaxed structure of Tl5HgBr6.

Unit cell a=8.1617 b=8.1617 c=8.1943 alpha=99.59 beta=99.59 gamma=119.96
Fractional coordinates of all 12 atoms:
Tl1 0.6646 0.3354 0.0000
Tl2 0.5000 0.5000 0.5000
Tl3 0.1711 0.8289 0.5000
Tl4 0.3354 0.6646 0.0000
Tl5 0.8289 0.1711 0.5000
Br1 0.7594 0.7594 0.2550
Br2 0.0797 0.4055 0.2437
Br3 0.4055 0.0797 0.2437
Br4 0.5945 0.9203 0.7563
Br5 0.9203 0.5945 0.7563
Br6 0.2406 0.2406 0.7450
Hg1 0.0000 0.0000 0.0000

Calculated values
spin magnetization	0.002	μB per formula unit
ΔE_f (raw)	-69.1	kJ per mole of atoms
ρ	6.3	g/cm³


No. 7
VASP calculation (PBE-GGA) on a relaxed structure of Tl4HgBr2.

Unit cell a=5.7196 b=5.7196 c=9.5719 alpha=72.62 beta=72.62 gamma=90.00
Fractional coordinates of all 7 atoms:
Br1 0.6270 0.6270 0.7460
Br2 0.3730 0.3730 0.2540
Tl1 0.0000 0.5000 0.0000
Tl2 0.8153 0.8153 0.3694
Tl3 0.1847 0.1847 0.6306
Tl4 0.5000 0.0000 0.0000
Hg1 0.0000 0.0000 0.0000

Calculated values
spin magnetization	0.000	μB per formula unit
ΔE_f (raw)	-21.3	kJ per mole of atoms
ρ	6.9	g/cm³


No. 8
VASP calculation (PBE-GGA) on a relaxed structure of Tl5Hg2Br5.

Unit cell a=8.1923 b=8.8627 c=8.8627 alpha=77.67 beta=62.47 gamma=62.47
Fractional coordinates of all 12 atoms:
Br1 0.8806 0.0000 0.0000
Br2 0.0981 0.0000 0.3901
Br3 0.4883 0.6099 0.0000
Br4 0.0981 0.3901 0.0000
Br5 0.4883 0.0000 0.6099
Hg1 0.7769 0.5000 0.5000
Hg2 0.2769 0.5000 0.5000
Tl1 0.0327 0.7366 0.2634
Tl2 0.4548 0.0000 0.0000
Tl3 0.0327 0.2634 0.7366
Tl4 0.7693 0.2634 0.2634
Tl5 0.2961 0.7366 0.7366

Calculated values
spin magnetization	0.000	μB per formula unit
ΔE_f (raw)	-61.2	kJ per mole of atoms
ρ	6.0	g/cm³


No. 9
VASP calculation (PBE-GGA) on a relaxed structure of TlHg3Br.

Unit cell a=6.3404 b=6.3404 c=6.3404 alpha=90.00 beta=90.00 gamma=90.00
Fractional coordinates of all 5 atoms:
Hg1 0.5000 0.0000 0.0000
Hg2 0.0000 0.0000 0.5000
Hg3 0.0000 0.5000 0.0000
Br1 0.0000 0.0000 0.0000
Tl1 0.5000 0.5000 0.5000

Calculated values
spin magnetization	0.000	μB per formula unit
ΔE_f (raw)	16.9	kJ per mole of atoms
ρ	5.8	g/cm³


No. 10
VASP calculation (PBE-GGA) on a relaxed structure of TlHgBr.

Unit cell a=4.8075 b=4.8075 c=5.8020 alpha=90.00 beta=90.00 gamma=120.00
Fractional coordinates of all 3 atoms:
Tl1 0.3333 0.6667 0.6926
Hg1 0.6667 0.3333 0.3472
Br1 0.0000 0.0000 0.9602

Calculated values
spin magnetization	0.000	μB per formula unit
ΔE_f (raw)	-48.0	kJ per mole of atoms
ρ	6.9	g/cm³


No. 11
VASP calculation (PBE-GGA) on a relaxed structure of Tl16Hg12Br.

Unit cell a=10.3049 b=10.3049 c=10.8722 alpha=111.33 beta=111.33 gamma=107.87
Fractional coordinates of all 29 atoms:
Hg1 0.5481 0.5481 0.7668
Hg2 0.2001 0.0089 0.3491
Hg3 0.1964 0.3812 0.0084
Hg4 0.8085 0.1773 0.8087
Hg5 0.8160 0.6253 0.6920
Hg6 0.0089 0.2001 0.3491
Hg7 0.3812 0.1964 0.0084
Hg8 0.8035 0.8035 0.1171
Hg9 0.1773 0.8085 0.8087
Hg10 0.0016 0.3860 0.1785
Hg11 0.6253 0.8160 0.6920
Hg12 0.3860 0.0016 0.1785
Tl1 0.0138 0.0138 0.0131
Tl2 0.2509 0.2509 0.6754
Tl3 0.7163 0.0015 0.3761
Tl4 0.9633 0.9633 0.6630
Tl5 0.0291 0.6441 0.0210
Tl6 0.2421 0.5864 0.5789
Tl7 0.0015 0.7163 0.3761
Tl8 0.3933 0.9980 0.6908
Tl9 0.3696 0.7457 0.3522
Tl10 0.6732 0.4030 0.9894
Tl11 0.9980 0.3933 0.6908
Tl12 0.3815 0.3815 0.3562
Tl13 0.7457 0.3696 0.3522
Tl14 0.6441 0.0291 0.0210
Tl15 0.4030 0.6732 0.9894
Tl16 0.5864 0.2421 0.5789
Br1 0.6353 0.6353 0.3181

Calculated values
spin magnetization	0.000	μB per formula unit
ΔE_f (raw)	-3.7	kJ per mole of atoms
ρ	11.1	g/cm³


No. 12
VASP calculation (PBE-GGA) on a relaxed structure of TlHgBr.

Unit cell a=5.4617 b=5.4617 c=5.4617 alpha=60.00 beta=60.00 gamma=60.00
Fractional coordinates of all 3 atoms:
Hg1 0.5000 0.5000 0.5000
Tl1 0.7500 0.7500 0.7500
Br1 0.0000 0.0000 0.0000

Calculated values
spin magnetization	0.000	μB per formula unit
ΔE_f (raw)	-47.0	kJ per mole of atoms
ρ	7.0	g/cm³